Entry 1:
# CrIn2GaSe6

CrIn2GaSe6 after structural relaxation (GGA-PBE, Alexandria via LeMat-Bulk).

a = 12.936 Å, b = 11.729 Å, c = 6.773 Å
α = 90.00°, β = 99.70°, γ = 90.00°
Space group C2/c (No. 15)
Asymmetric unit:
Cr (0.000, 0.084, 0.250) (multiplicity 4)
In (0.181, 0.403, 0.290) (multiplicity 8)
Ga (0.000, 0.251, 0.750) (multiplicity 4)
Se (0.104, 0.080, 0.611) (multiplicity 8)
Se (0.118, 0.219, 0.090) (multiplicity 8)
Se (0.140, 0.391, 0.652) (multiplicity 8)

Output
density of states at the Fermi level: 0.650 states/eV/f.u.
electronic total energy: -4.3469 eV per atom
raw formation energy: -4.435 eV/f.u.



Entry 2:
# Pr4CoHg

Pr4CoHg after structural relaxation (GGA-PBE, Alexandria via LeMat-Bulk).

a = 13.949 Å, b = 13.949 Å, c = 13.949 Å
α = 90.00°, β = 90.00°, γ = 90.00°
Space group F-43m (No. 216)
Asymmetric unit:
Pr (0.000, 0.000, 0.190) (multiplicity 24)
Pr (0.060, 0.250, 0.250) (multiplicity 24)
Pr (0.098, 0.098, 0.598) (multiplicity 16)
Co (0.109, 0.109, 0.391) (multiplicity 16)
Hg (0.167, 0.167, 0.833) (multiplicity 16)

Output
density of states at the Fermi level: 5.036 states/eV/f.u.
electronic total energy: -4.6361 eV per atom
ΔH_f (0 K): -0.22 eV/atom
E above lowest polymorph: 0.0 meV per atom



Entry 3:
# Na2Zn2BiO6

Na2Zn2BiO6 after structural relaxation (GGA-PBE, Alexandria via LeMat-Bulk).

a = 5.4367 Å, b = 5.4367 Å, c = 5.7016 Å
α = 90.00°, β = 90.00°, γ = 120.00°
Space group P-31m (No. 162)
Asymmetric unit:
Na (0.3333, 0.6667, 0.0000) (multiplicity 2)
Zn (0.3333, 0.6667, 0.5000) (multiplicity 2)
Bi (0.0000, 0.0000, 0.5000) (multiplicity 1)
O (0.0000, 0.3384, 0.3013) (multiplicity 6)

Output
density of states at the Fermi level: 8.608 states/eV/f.u.
electronic total energy: -4.6999 eV per atom
raw formation energy: -12.883 eV/f.u.



Entry 4:
# PaCdSbAu

PaCdSbAu after structural relaxation (GGA-PBE, Alexandria via LeMat-Bulk).

a = 7.238 Å, b = 7.238 Å, c = 7.238 Å
α = 90.00°, β = 90.00°, γ = 90.00°
Space group F-43m (No. 216)
Asymmetric unit:
Pa (0.000, 0.000, 0.000) (multiplicity 4)
Cd (0.000, 0.000, 0.500) (multiplicity 4)
Sb (0.250, 0.250, 0.750) (multiplicity 4)
Au (0.250, 0.250, 0.250) (multiplicity 4)

Output
density of states at the Fermi level: 6.485 states/eV/f.u.
electronic total energy: -4.6602 eV per atom
raw formation energy: -0.830 eV/f.u.



Entry 5:
# Cs2Zn2O3

Cs2Zn2O3 after structural relaxation (GGA-PBE, Alexandria via LeMat-Bulk).

a = 11.459 Å, b = 3.618 Å, c = 7.913 Å
α = 90.00°, β = 122.34°, γ = 90.00°
Space group C2/m (No. 12)
Asymmetric unit:
Cs (0.061, 0.000, 0.324) (multiplicity 4)
Zn (0.191, 0.500, 0.071) (multiplicity 4)
O (0.000, 0.500, 0.000) (multiplicity 2)
O (0.211, 0.500, 0.820) (multiplicity 4)

Output
density of states at the Fermi level: 0.000 states/eV/f.u.
electronic total energy: -4.0148 eV per atom
raw formation energy: -8.974 eV/f.u.



Entry 6:
# NaY2Ge2

NaY2Ge2 after structural relaxation (GGA-PBE, Alexandria via LeMat-Bulk).

a = 8.478 Å, b = 8.478 Å, c = 3.466 Å
α = 90.00°, β = 90.00°, γ = 90.00°
Space group P4/mbm (No. 127)
Asymmetric unit:
Na (0.000, 0.000, 0.000) (multiplicity 2)
Y (0.141, 0.359, 0.500) (multiplicity 4)
Ge (0.161, 0.661, 0.000) (multiplicity 4)

Output
density of states at the Fermi level: 2.580 states/eV/f.u.
electronic total energy: -5.2368 eV per atom
ΔH_f (0 K): -0.54 eV/atom
E above lowest polymorph: 0.0 meV per atom



Entry 7:
# MgMnIr

MgMnIr after structural relaxation (GGA-PBE, Alexandria via LeMat-Bulk).

a = 3.009 Å, b = 3.490 Å, c = 8.964 Å
α = 90.00°, β = 90.00°, γ = 90.00°
Space group Imm2 (No. 44)
Asymmetric unit:
Mg (0.000, 0.000, 0.000) (multiplicity 2)
Mn (0.000, 0.000, 0.691) (multiplicity 2)
Ir (0.000, 0.000, 0.322) (multiplicity 2)

Output
density of states at the Fermi level: 1.919 states/eV/f.u.
electronic total energy: -6.6479 eV per atom
ΔH_f (0 K): -0.11 eV/atom



Entry 8:
# ThMg3Pd12

ThMg3Pd12 after structural relaxation (GGA-PBE, Alexandria via LeMat-Bulk).

a = 4.115 Å, b = 4.115 Å, c = 15.559 Å
α = 90.00°, β = 90.00°, γ = 90.00°
Space group P4/mmm (No. 123)
Asymmetric unit:
Th (0.000, 0.000, 0.000) (multiplicity 1)
Mg (0.000, 0.000, 0.260) (multiplicity 2)
Mg (0.000, 0.000, 0.500) (multiplicity 1)
Pd (0.000, 0.500, 0.136) (multiplicity 4)
Pd (0.000, 0.500, 0.380) (multiplicity 4)
Pd (0.500, 0.500, 0.000) (multiplicity 1)
Pd (0.500, 0.500, 0.259) (multiplicity 2)
Pd (0.500, 0.500, 0.500) (multiplicity 1)

Output
density of states at the Fermi level: 15.570 states/eV/f.u.
electronic total energy: -5.2532 eV per atom
ΔH_f (0 K): -0.60 eV/atom



Entry 9:
# LiVZn

LiVZn after structural relaxation (GGA-PBE, Alexandria via LeMat-Bulk).

a = 4.471 Å, b = 7.112 Å, c = 11.177 Å
α = 90.00°, β = 90.00°, γ = 90.00°
Space group Fmmm (No. 69)
Asymmetric unit:
Li (0.250, 0.250, 0.250) (multiplicity 8)
V (0.000, 0.158, 0.000) (multiplicity 8)
Zn (0.000, 0.000, 0.390) (multiplicity 8)

Output
density of states at the Fermi level: 1.716 states/eV/f.u.
electronic total energy: -3.8479 eV per atom
ΔH_f (0 K): 0.25 eV/atom
E above lowest polymorph: 247.2 meV per atom



Entry 10:
# ErAg2Pd6

ErAg2Pd6 after structural relaxation (GGA-PBE, Alexandria via LeMat-Bulk).

a = 9.952 Å, b = 11.900 Å, c = 5.443 Å
α = 90.00°, β = 103.86°, γ = 90.00°
Space group C2/c (No. 15)
Asymmetric unit:
Er (0.000, 0.104, 0.250) (multiplicity 4)
Ag (0.143, 0.482, 0.369) (multiplicity 8)
Pd (0.042, 0.308, 0.012) (multiplicity 8)
Pd (0.141, 0.107, 0.814) (multiplicity 8)
Pd (0.236, 0.309, 0.705) (multiplicity 8)

Output
density of states at the Fermi level: 4.708 states/eV/f.u.
electronic total energy: -4.8739 eV per atom
ΔH_f (0 K): -0.27 eV/atom



Question: Look up the density of states at the Fermi level of the ninth one.
Answer: 1.716 states/eV/f.u.



Question: What is the formula in the third record?
Answer: Na2Zn2BiO6